[1]
A plane-wave DFT calculation with PBE-GGA was carried out for an optimized crystal structure of Li2TcO5.

a b c (Å): 5.3764 5.3764 9.9873
angles (deg): 90.00 90.00 137.80
Last column: nearest neighbours and their distance in Å.
Atoms (fractional coordinates):
Li (0.1507, 0.8493, 0.5652)  4 O 1.99-2.13
Li (0.1507, 0.8493, 0.9348)  4 O 1.99-2.13
Li (0.8493, 0.1507, 0.0652)  4 O 1.99-2.13
Li (0.8493, 0.1507, 0.4348)  4 O 1.99-2.13
Tc (0.1868, 0.8132, 0.2500)  6 O 1.82-1.94
Tc (0.8132, 0.1868, 0.7500)  6 O 1.82-1.94
O (0.0324, 0.9676, 0.1408)  1 Tc 1.89, 1 Li 1.99
O (0.0324, 0.9676, 0.3592)  1 Tc 1.89, 1 Li 1.99
O (0.2872, 0.7128, 0.0986)  1 Tc 1.82
O (0.2872, 0.7128, 0.4014)  1 Tc 1.82
O (0.2976, 0.7024, 0.7500)  2 Tc 1.94
O (0.7024, 0.2976, 0.2500)  2 Tc 1.94
O (0.7128, 0.2872, 0.5986)  1 Tc 1.82
O (0.7128, 0.2872, 0.9014)  1 Tc 1.82
O (0.9676, 0.0324, 0.6408)  1 Tc 1.89, 1 Li 1.99
O (0.9676, 0.0324, 0.8592)  1 Tc 1.89, 1 Li 1.99

energy relative to the lowest polymorph listed for this composition: 233.0 meV/atom
size of the total moment: 1.025 μB/f.u.

[2]
A plane-wave DFT calculation with PBE-GGA was carried out for an optimized crystal structure of LiTcO3.

a b c (Å): 5.7055 4.9404 6.6834
angles (deg): 56.42 46.17 77.41
Last column: nearest neighbours and their distance in Å.
Atoms (fractional coordinates):
Li (0.1907, 0.8093, 0.1907)  4 O 2.00-2.04
Li (0.8093, 0.1907, 0.8093)  4 O 2.00-2.04
Tc (0.3291, 0.6677, 0.6709)  6 O 1.95-1.99
Tc (0.6677, 0.3291, 0.3323)  6 O 1.95-1.99
O (0.1097, 0.5068, 0.1223)  2 Tc 1.95-1.96, 1 Li 2.00
O (0.2571, 0.4967, 0.5033)  2 Tc 1.99, 2 Li 2.01-2.04
O (0.4967, 0.2571, 0.7429)  2 Tc 1.99, 2 Li 2.01-2.04
O (0.5068, 0.1097, 0.2612)  2 Tc 1.95-1.96, 1 Li 2.00
O (0.7388, 0.8777, 0.4932)  2 Tc 1.95-1.96, 1 Li 2.00
O (0.8777, 0.7388, 0.8903)  2 Tc 1.95-1.96, 1 Li 2.00

D(E_F): 4.35 states/eV per cell
size of the total moment: 0.000 μB/f.u.

[3]
A plane-wave DFT calculation with PBE-GGA was carried out for an optimized crystal structure of Li3TcO6.

a b c (Å): 5.1720 5.1720 5.1652
angles (deg): 118.35 118.35 66.17
Last column: nearest neighbours and their distance in Å.
Atoms (fractional coordinates):
Li (0.0000, 0.0000, 0.0000)  6 O 2.13-2.16
Li (0.2427, 0.2427, 0.6940)  5 O 1.97-2.08
Li (0.7573, 0.7573, 0.3060)  5 O 1.97-2.08
Tc (0.5000, 0.5000, 0.5000)  6 O 1.84-1.93
O (0.1646, 0.6450, 0.6404)  1 Tc 1.93, 3 Li 2.07-2.13
O (0.2797, 0.2797, 0.1075)  1 Tc 1.84, 1 Li 1.97
O (0.3550, 0.8354, 0.3596)  1 Tc 1.93, 3 Li 2.07-2.13
O (0.6450, 0.1646, 0.6404)  1 Tc 1.93, 3 Li 2.07-2.13
O (0.7203, 0.7203, 0.8925)  1 Tc 1.84, 1 Li 1.97
O (0.8354, 0.3550, 0.3596)  1 Tc 1.93, 3 Li 2.07-2.13

D(E_F): 0.39 states/eV per cell
size of the total moment: 2.015 μB/f.u.

[4]
A plane-wave DFT calculation with PBE-GGA was carried out for an optimized crystal structure of LiTcO3.

a b c (Å): 5.5621 5.5621 6.3698
angles (deg): 96.68 96.68 37.38
Last column: nearest neighbours and their distance in Å.
Atoms (fractional coordinates):
Li (0.1492, 0.1492, 0.4008)  1 O 1.95
Li (0.8508, 0.8508, 0.5992)  1 O 1.95
Tc (0.3928, 0.3928, 0.1161)  4 O 1.83-1.91
Tc (0.6072, 0.6072, 0.8839)  4 O 1.83-1.91
O (0.1564, 0.1564, 0.9633)  2 Tc 1.91
O (0.3315, 0.3315, 0.3724)  1 Tc 1.83, 1 Li 1.95
O (0.4336, 0.4336, 0.7845)  1 Tc 1.86
O (0.5664, 0.5664, 0.2155)  1 Tc 1.86
O (0.6685, 0.6685, 0.6276)  1 Tc 1.83, 1 Li 1.95
O (0.8436, 0.8436, 0.0367)  2 Tc 1.91

D(E_F): 3.46 states/eV per cell
size of the total moment: 1.046 μB/f.u.

[5]
A plane-wave DFT calculation with PBE-GGA was carried out for an optimized crystal structure of LiTc2O4.

a b c (Å): 6.0459 6.0459 6.0459
angles (deg): 145.04 145.04 50.28
Last column: nearest neighbours and their distance in Å.
Atoms (fractional coordinates):
Li (0.0000, 0.0000, 0.0000)  4 O 1.82
Tc (0.3743, 0.3743, 0.0000)  1 O 1.83
Tc (0.6257, 0.6257, 0.0000)  1 O 1.83
O (0.0000, 0.5000, 0.5000)  2 Li 1.82
O (0.2068, 0.2068, 0.0000)  1 Tc 1.83
O (0.5000, 0.0000, 0.5000)  2 Li 1.82
O (0.7932, 0.7932, 0.0000)  1 Tc 1.83

energy relative to the lowest polymorph listed for this composition: 931.3 meV/atom
D(E_F): 5.74 states/eV per cell
size of the total moment: 3.730 μB/f.u.

[6]
A plane-wave DFT calculation with PBE-GGA was carried out for an optimized crystal structure of Li2TcO6.

a b c (Å): 4.7187 4.7187 9.2301
angles (deg): 90.00 90.00 90.00
Last column: nearest neighbours and their distance in Å.
Atoms (fractional coordinates):
Li (0.0000, 0.0000, 0.1659)  6 O 2.04-2.19
Li (0.0000, 0.0000, 0.8341)  6 O 2.04-2.19
Li (0.5000, 0.5000, 0.3341)  6 O 2.04-2.19
Li (0.5000, 0.5000, 0.6659)  6 O 2.04-2.19
Tc (0.0000, 0.0000, 0.5000)  6 O 1.87-1.91
Tc (0.5000, 0.5000, 0.0000)  6 O 1.87-1.91
O (0.1963, 0.1963, 0.3559)  1 Tc 1.87, 1 Li 2.04
O (0.1963, 0.1963, 0.6441)  1 Tc 1.87, 1 Li 2.04
O (0.2137, 0.2137, 0.0000)  1 Tc 1.91, 2 Li 2.09
O (0.2863, 0.7137, 0.5000)  1 Tc 1.91, 2 Li 2.09
O (0.3037, 0.6963, 0.1441)  1 Tc 1.87, 1 Li 2.04
O (0.3037, 0.6963, 0.8559)  1 Tc 1.87, 1 Li 2.04
O (0.6963, 0.3037, 0.1441)  1 Tc 1.87, 1 Li 2.04
O (0.6963, 0.3037, 0.8559)  1 Tc 1.87, 1 Li 2.04
O (0.7137, 0.2863, 0.5000)  1 Tc 1.91, 2 Li 2.09
O (0.7863, 0.7863, 0.0000)  1 Tc 1.91, 2 Li 2.09
O (0.8037, 0.8037, 0.3559)  1 Tc 1.87, 1 Li 2.04
O (0.8037, 0.8037, 0.6441)  1 Tc 1.87, 1 Li 2.04

D(E_F): 10.83 states/eV per cell
size of the total moment: 3.000 μB/f.u.

no.,uncorrected formation energy (kJ per mole of atoms)
1,-127.7
2,-153.2
3,-123.6
4,-139.6
5,-55.9
6,-86.5